Entry 1:
VASP calculation (GGA-PBE) on a relaxed MgAg5 crystal.

Results
**Total energy**: -16.38 eV for the cell shown
**Density of states at the Fermi level**: 1.7 states/eV/cell
**Theoretical density**: 8.68 Mg/m³
**Calculated volume**: 108 Å³/cell
**E_form**: -0.088 eV/atom

POSCAR file:
```
MgAg5
1.0
2.539 1.466 4.830
-2.539 1.466 4.830
0.000 -2.932 4.830
Mg Ag
1 5
direct
0.000 0.000 0.000
0.167 0.833 0.500
0.332 0.332 0.332
0.500 0.167 0.833
0.668 0.668 0.668
0.833 0.500 0.167
```

Entry 2:
VASP calculation (GGA-PBE) on a relaxed MgAg5 crystal.

Results
**Total energy**: -16.17 eV for the cell shown
**Density of states at the Fermi level**: 1.6 states/eV/cell
**Theoretical density**: 8.63 Mg/m³
**Calculated volume**: 108 Å³/cell
**E_form**: -0.053 eV/atom

POSCAR file:
```
MgAg5
1.0
3.030 0.000 0.000
0.000 3.030 0.000
0.000 0.000 11.806
Mg Ag
1 5
direct
0.000 0.000 0.000
0.000 0.000 0.332
0.000 0.000 0.668
0.500 0.500 0.163
0.500 0.500 0.500
0.500 0.500 0.837
```

Entry 3:
VASP calculation (GGA-PBE) on a relaxed MgAg5 crystal.

Results
**Total energy**: -16.39 eV for the cell shown
**Density of states at the Fermi level**: 1.7 states/eV/cell
**Theoretical density**: 8.69 Mg/m³
**Calculated volume**: 108 Å³/cell
**E_form**: -0.090 eV/atom

POSCAR file:
```
MgAg5
1.0
2.580 -4.323 0.000
2.580 4.323 0.000
-1.832 0.000 4.830
Mg Ag
1 5
direct
0.000 0.000 0.000
0.166 0.834 0.500
0.333 0.667 0.000
0.500 0.500 0.500
0.667 0.333 0.000
0.834 0.166 0.500
```

Entry 4:
VASP calculation (GGA-PBE) on a relaxed MgAg5 crystal.

Results
**Total energy**: -16.39 eV for the cell shown
**Density of states at the Fermi level**: 1.7 states/eV/cell
**Theoretical density**: 8.69 Mg/m³
**Calculated volume**: 108 Å³/cell
**E_form**: -0.089 eV/atom

POSCAR file:
```
MgAg5
1.0
2.076 -6.390 0.000
2.076 6.390 0.000
0.000 0.000 4.060
Mg Ag
1 5
direct
0.000 0.000 0.000
0.166 0.834 0.500
0.334 0.666 0.000
0.500 0.500 0.500
0.666 0.334 0.000
0.834 0.166 0.500
```